A relaxed structure of Li4V5Cr2O12, computed with GGA+U.

Output
SG	P2_1

abc: 9.159 5.119 9.935
angles: 77.99 90.00 90.00
Each line ends with the local moment (μB).
Element x y z (fractional)
Li 0.090 0.493 0.737  0.00
Li 0.590 0.507 0.263  0.00
Li 0.413 0.991 0.261  -0.01
Li 0.585 0.760 0.502  0.00
Li 0.085 0.240 0.498  0.00
Li 0.420 0.503 0.744  0.00
Li 0.913 0.009 0.739  -0.01
Li 0.920 0.497 0.256  0.00
O 0.088 0.370 0.119  -0.01
O 0.904 0.385 0.619  0.00
O 0.896 0.638 0.876  -0.03
O 0.593 0.135 0.385  0.01
O 0.597 0.387 0.617  -0.02
O 0.751 0.152 0.888  -0.02
O 0.588 0.630 0.881  -0.01
O 0.262 0.370 0.625  -0.01
O 0.097 0.613 0.383  -0.02
O 0.092 0.131 0.877  0.00
O 0.398 0.119 0.890  -0.01
O 0.749 0.376 0.121  -0.01
O 0.592 0.869 0.123  0.00
O 0.395 0.880 0.622  -0.03
O 0.249 0.624 0.879  -0.01
O 0.404 0.615 0.381  0.00
O 0.762 0.630 0.375  -0.01
O 0.271 0.133 0.386  -0.03
O 0.895 0.120 0.378  -0.03
O 0.771 0.867 0.614  -0.03
O 0.251 0.848 0.112  -0.02
O 0.898 0.881 0.110  -0.01
O 0.396 0.362 0.124  -0.03
O 0.093 0.865 0.615  0.01
V 0.428 0.249 0.507  1.89
V 0.420 0.735 0.998  2.16
V 0.928 0.751 0.493  1.89
V 0.920 0.265 0.002  2.16
V 0.241 0.486 0.259  1.94
V 0.073 0.743 0.995  2.41
V 0.249 0.001 0.745  1.94
V 0.741 0.514 0.741  1.94
V 0.749 0.999 0.255  1.94
V 0.573 0.257 0.005  2.41
Cr 0.251 0.751 0.497  2.99
Cr 0.751 0.249 0.503  2.99
Cr 0.244 0.236 0.005  3.03
Cr 0.744 0.764 0.995  3.03


A relaxed structure of Li10V5Cr3O16, computed with GGA+U.

Output
SG	Cm

abc: 6.034 6.034 9.932
angles: 89.69 89.69 59.76
Each line ends with the local moment (μB).
Element x y z (fractional)
Cr 0.337 0.834 0.227  3.04
Cr 0.834 0.337 0.227  3.04
Cr 0.171 0.171 0.727  3.04
Li 0.605 0.199 0.455  0.00
Li 0.004 0.004 0.528  0.00
Li 0.391 0.810 0.953  0.00
Li 0.669 0.669 0.739  0.00
Li 0.802 0.802 0.957  0.00
Li 0.199 0.605 0.455  0.00
Li 0.335 0.335 0.238  0.01
Li 0.001 0.001 0.030  0.00
Li 0.810 0.391 0.953  0.00
Li 0.198 0.198 0.454  0.00
O 0.681 0.159 0.114  -0.03
O 0.161 0.161 0.112  -0.03
O 0.016 0.495 0.844  -0.02
O 0.510 0.510 0.345  -0.02
O 0.506 0.987 0.344  -0.02
O 0.323 0.841 0.613  -0.03
O 0.159 0.681 0.114  -0.03
O 0.332 0.332 0.608  0.00
O 0.841 0.323 0.613  -0.03
O 0.844 0.844 0.611  -0.03
O 0.008 0.008 0.843  0.01
O 0.006 0.006 0.341  -0.01
O 0.987 0.506 0.344  -0.02
O 0.497 0.497 0.844  -0.01
O 0.664 0.664 0.111  -0.02
O 0.495 0.016 0.844  -0.02
V 0.667 0.171 0.729  1.96
V 0.171 0.667 0.729  1.96
V 0.337 0.337 0.986  2.65
V 0.670 0.670 0.487  2.60
V 0.833 0.833 0.229  1.97


Number 1: uncorrected energy -330.92 eV for the cell shown. Number 2: uncorrected energy -224.55 eV for the cell shown.